VASP calculation (PBE+U) on a relaxed structure of Rb3MoBr2F6.

Properties
The calculation puts the raw total energy at -4.342 eV per atom. As for the space-group type: No. 12.

Cell: 9.340 9.340 5.204 Å, 96.25 96.25 51.52°
Atoms (fractional coordinates):
Rb  0.000  0.000  0.000
Rb  0.000  0.500  0.500
Rb  0.500  0.000  0.500
Mo  0.500  0.500  0.500
Br  0.195  0.195  0.980
Br  0.805  0.805  0.020
F  0.302  0.650  0.254
F  0.350  0.698  0.746
F  0.387  0.387  0.562
F  0.613  0.613  0.438
F  0.650  0.302  0.254
F  0.698  0.350  0.746